NaMn7O12 PBE with a Hubbard U optimized geometry; E_tot = -143.71 eV per cell; crystal system = cubic; DOS(E_F) = 5.077 states/eV/cell; total magnetization = 26.0 μB/cell
1.0
-3.7231 3.7231 3.7231
3.7231 -3.7231 3.7231
3.7231 3.7231 -3.7231
Na Mn O
1 7 12
Cartesian
0.0000 0.0000 0.0000
1.8616 1.8616 -1.8616
1.8616 -1.8616 1.8616
3.7231 0.0000 0.0000
-1.8616 1.8616 1.8616
0.0000 3.7231 0.0000
0.0000 0.0000 3.7231
1.8616 1.8616 1.8616
3.7231 2.3570 -1.3970
2.3261 0.0000 1.3662
5.1201 0.0000 1.3662
1.3662 2.3261 0.0000
2.3570 -1.3970 3.7231
0.0000 1.3662 2.3261
3.7231 2.3570 1.3970
1.3662 5.1201 0.0000
2.3570 1.3970 3.7231
-1.3970 3.7231 2.3570
1.3970 3.7231 2.3570
0.0000 1.3662 5.1201